# Ac4Tl2AgHg

An optimized crystal structure of Ac4Tl2AgHg (PBE, the Alexandria database).

Values from the calculation:
Its space group is R-3m, No. 166. As for the volume: 270.1 Å³ per cell.

Structure (POSCAR):
```
Ac4Tl2AgHg
1.0
-4.669 1.784 -2.844
-1.395 -2.406 -5.034
-7.231 -6.640 1.892
Tl Ac Hg Ag
2 4 1 1
Direct
0.251 0.251 0.247 Tl
0.749 0.749 0.753 Tl
0.623 0.623 0.130 Ac
0.127 0.127 0.620 Ac
0.377 0.377 0.870 Ac
0.873 0.873 0.380 Ac
0.000 0.000 0.000 Hg
0.500 0.500 0.500 Ag
```

---

# Ac4TlAgHg2

An optimized crystal structure of Ac4TlAgHg2 (PBE, the Alexandria database).

Values from the calculation:
Its space group is R-3m, No. 166. As for the volume: 264.4 Å³ per cell.

Structure (POSCAR):
```
Ac4TlAgHg2
1.0
5.713 0.000 0.000
2.856 4.948 0.000
2.856 1.649 9.355
Ac Hg Tl Ag
4 2 1 1
Direct
0.622 0.622 0.135 Ac
0.378 0.378 0.865 Ac
0.128 0.128 0.615 Ac
0.872 0.872 0.385 Ac
0.252 0.252 0.244 Hg
0.748 0.748 0.756 Hg
0.000 0.000 0.000 Tl
0.500 0.500 0.500 Ag
```

---

# Ac4TlAg2Hg

An optimized crystal structure of Ac4TlAg2Hg (PBE, the Alexandria database).

Values from the calculation:
Its space group is R-3m, No. 166. As for the volume: 261.6 Å³ per cell.

Structure (POSCAR):
```
Ac4TlAg2Hg
1.0
-0.648 2.912 -4.847
2.659 -1.718 -4.730
-6.676 -4.904 -5.396
Ag Hg Ac Tl
2 1 4 1
Direct
0.251 0.251 0.247 Ag
0.749 0.749 0.753 Ag
0.500 0.500 0.500 Hg
0.873 0.873 0.380 Ac
0.377 0.377 0.869 Ac
0.623 0.623 0.131 Ac
0.127 0.127 0.620 Ac
0.000 0.000 0.000 Tl
```

---

# AcTmAgHg

An optimized crystal structure of AcTmAgHg (PBE, the Alexandria database).

Values from the calculation:
The energy above the most stable polymorph in this dataset is 0.000 eV per atom. Its space group is P4mm, No. 99. As for the volume: 110.8 Å³ per cell.

Structure (POSCAR):
```
AcTmAgHg
1.0
3.776 0.000 0.000
0.000 3.776 0.000
0.000 0.000 7.768
Ac Tm Ag Hg
1 1 1 1
Direct
0.500 0.500 0.111 Ac
0.500 0.500 0.600 Tm
0.000 0.000 0.398 Ag
0.000 0.000 0.819 Hg
```

---

# AcTmAgHg

An optimized crystal structure of AcTmAgHg (PBE, the Alexandria database).

Values from the calculation:
The energy above the most stable polymorph in this dataset is 0.037 eV per atom. Its space group is F-43m, No. 216. As for the volume: 113.0 Å³ per cell.

Structure (POSCAR):
```
AcTmAgHg
1.0
5.426 0.000 0.000
2.713 4.699 0.000
2.713 1.566 4.430
Ac Ag Tm Hg
1 1 1 1
Direct
0.250 0.250 0.250 Ac
0.000 0.000 0.000 Ag
0.750 0.750 0.750 Tm
0.500 0.500 0.500 Hg
```

---

# Ac2YAg3Hg12

An optimized crystal structure of Ac2YAg3Hg12 (PBE, the Alexandria database).

Values from the calculation:
Its space group is R-3m, No. 166. As for the volume: 539.7 Å³ per cell.

Structure (POSCAR):
```
Ac2YAg3Hg12
1.0
9.284 0.200 0.142
4.759 7.975 0.142
4.759 2.770 7.480
Hg Ac Ag Y
12 2 3 1
Direct
0.829 0.464 0.829 Hg
0.829 0.829 0.464 Hg
0.160 0.764 0.764 Hg
0.171 0.536 0.171 Hg
0.236 0.236 0.840 Hg
0.764 0.764 0.160 Hg
0.236 0.840 0.236 Hg
0.840 0.236 0.236 Hg
0.464 0.829 0.829 Hg
0.171 0.171 0.536 Hg
0.764 0.160 0.764 Hg
0.536 0.171 0.171 Hg
0.408 0.408 0.408 Ac
0.592 0.592 0.592 Ac
0.000 0.500 0.000 Ag
0.000 0.000 0.500 Ag
0.500 0.000 0.000 Ag
0.000 0.000 0.000 Y
```

---

no.,ΔH_f (0 K) (meV per atom)
1,-358
2,-388
3,-340
4,-365
5,-329
6,-14